The following is a DFT calculation (PBE) of Th4AgAu7 after structural relaxation.

Values from the calculation:
Magnetic moment, μB per formula unit: 0.0
E_form, eV/atom: -0.48

Cell and atoms, written as CIF:
```
data_Th4AgAu7
_cell_length_a 14.5487
_cell_length_b 5.1609
_cell_length_c 9.4976
_cell_angle_alpha 90.00
_cell_angle_beta 122.09
_cell_angle_gamma 90.00
_symmetry_space_group_name_H-M 'C 1 2/m 1'
_symmetry_Int_Tables_number 12
loop_
_symmetry_equiv_pos_as_xyz
'x,y,z'
'-x,-y,-z'
'-x,y,-z'
'x,-y,z'
'x+1/2,y+1/2,z'
'-x+1/2,-y+1/2,-z'
'-x+1/2,y+1/2,-z'
'x+1/2,-y+1/2,z'
loop_
_atom_site_label
_atom_site_fract_x
_atom_site_fract_y
_atom_site_fract_z
Th1 0.0676 0.0000 0.2567
Th2 0.2279 0.0000 0.7761
Ag1 0.0000 0.5000 0.5000
Au1 0.0000 0.0000 0.5000
Au2 0.0942 0.5000 0.8531
Au3 0.1643 0.0000 0.0478
Au4 0.1846 0.5000 0.4512
```